The following is a GGA+U calculation of a relaxed structure of WSN2O, from the Alexandria database.

Properties
Symmetry = P4/mmm (123)
Energy = -6.010 eV per atom

POSCAR file:
```
WSN2O
1.0
-2.906 -1.252 -2.572
0.174 -3.737 1.623
-2.671 0.979 2.541
N O W S
2 1 1 1
direct
0.000 0.500 0.000
0.500 0.000 0.000
0.000 0.000 0.500
0.000 0.000 0.000
0.500 0.500 0.500
```